A plane-wave DFT calculation with PBE was carried out for an optimized crystal structure of LiTi2IO8.

Summary:
Symmetry   Cmmm, No. 65

Unit cell a=4.628 b=4.624 c=6.095 alpha=90.00 beta=90.00 gamma=88.75
Atoms (fractional coordinates):
Li 0.000 0.000 0.500
Ti 0.500 0.500 0.730
Ti 0.500 0.500 0.270
I 0.000 0.000 0.000
O 0.196 0.803 0.229
O 0.708 0.710 0.000
O 0.804 0.197 0.229
O 0.804 0.197 0.771
O 0.292 0.290 0.000
O 0.196 0.803 0.771
O 0.684 0.686 0.500
O 0.316 0.314 0.500



A plane-wave DFT calculation with PBE was carried out for an optimized crystal structure of Si4PPb.

Summary:
Symmetry   F-43m, No. 216

Unit cell a=5.346 b=5.346 c=5.346 alpha=60.00 beta=60.00 gamma=60.00
Atoms (fractional coordinates):
Si 0.869 0.377 0.377
Si 0.377 0.377 0.869
Si 0.377 0.869 0.377
Si 0.377 0.377 0.377
P 0.750 0.750 0.750
Pb 0.000 0.000 0.000



no.,total DFT energy (no corrections) (eV per atom),theoretical density (Mg/m³)
1,-6.7537,4.55
2,-4.4765,5.39